(1)
This record from the Alexandria database describes crystalline Cd3Ga2Au8 at its relaxed geometry. The functional is PBE-GGA.

Results
Raw total energy, eV/atom: -2.809
Symmetry: Cmmm, No. 65
Energy relative to the elements, eV per atom: -0.115

Cell: 4.203 7.873 8.811 Å, 116.54 90.00 90.00°
Atoms (fractional coordinates):
Au 0.500 0.127 0.737
Au 0.000 0.654 0.308
Au 0.000 0.139 0.278
Au 0.500 0.611 0.737
Au 0.000 0.861 0.722
Au 0.500 0.873 0.263
Au 0.500 0.389 0.263
Au 0.000 0.346 0.692
Cd 0.000 0.701 0.000
Cd 0.000 0.299 0.000
Cd 0.500 0.000 0.000
Ga 0.500 0.244 0.489
Ga 0.500 0.756 0.511

(2)
This record from the Alexandria database describes crystalline CdGaAu5 at its relaxed geometry. The functional is PBE-GGA.

Results
Raw total energy, eV/atom: -3.034
Symmetry: P4/mmm, No. 123
ΔE to the lowest computed polymorph, eV/atom: 0.0000
Energy relative to the elements, eV per atom: -0.130

Cell: 4.282 4.282 7.233 Å, 90.00 90.00 90.00°
Atoms (fractional coordinates):
Au 0.500 0.500 0.500
Au 0.500 0.000 0.214
Au 0.000 0.500 0.214
Au 0.000 0.500 0.786
Au 0.500 0.000 0.786
Ga 0.500 0.500 0.000
Cd 0.000 0.000 0.500

(3)
This record from the Alexandria database describes crystalline CdGa2Au8 at its relaxed geometry. The functional is PBE-GGA.

Results
Raw total energy, eV/atom: -3.123
Symmetry: C2/m, No. 12
ΔE to the lowest computed polymorph, eV/atom: 0.0188
Energy relative to the elements, eV per atom: -0.106

Cell: 3.888 6.737 8.386 Å, 109.28 103.40 90.00°
Atoms (fractional coordinates):
Au 0.046 0.738 0.091
Au 0.159 0.243 0.318
Au 0.410 0.540 0.820
Au 0.841 0.757 0.682
Au 0.590 0.460 0.180
Au 0.954 0.262 0.909
Au 0.322 0.061 0.644
Au 0.678 0.939 0.356
Cd 0.500 0.000 0.000
Ga 0.209 0.662 0.419
Ga 0.791 0.338 0.581

(4)
This record from the Alexandria database describes crystalline CdGa2Au4 at its relaxed geometry. The functional is PBE-GGA.

Results
Raw total energy, eV/atom: -2.990
Symmetry: R-3m, No. 166
Energy relative to the elements, eV per atom: -0.122

Cell: 4.409 4.409 8.458 Å, 74.89 74.89 60.00°
Atoms (fractional coordinates):
Au 0.391 0.391 0.827
Au 0.869 0.869 0.393
Au 0.131 0.131 0.607
Au 0.609 0.609 0.173
Ga 0.241 0.241 0.278
Ga 0.759 0.759 0.722
Cd 0.000 0.000 0.000

(5)
This record from the Alexandria database describes crystalline Cd2Ga2Au3 at its relaxed geometry. The functional is PBE-GGA.

Results
Raw total energy, eV/atom: -2.630
Symmetry: P-1, No. 2
ΔE to the lowest computed polymorph, eV/atom: 0.0695
Energy relative to the elements, eV per atom: -0.099

Cell: 3.584 3.749 12.992 Å, 90.12 96.20 122.66°
Atoms (fractional coordinates):
Au 0.516 0.753 0.262
Au 0.484 0.247 0.738
Au 0.000 0.000 0.000
Cd 0.296 0.142 0.415
Cd 0.704 0.858 0.585
Ga 0.756 0.377 0.135
Ga 0.244 0.623 0.865

(6)
This record from the Alexandria database describes crystalline Cd2Ga2Au7 at its relaxed geometry. The functional is PBE-GGA.

Results
Raw total energy, eV/atom: -2.933
Symmetry: C2/m, No. 12
ΔE to the lowest computed polymorph, eV/atom: 0.0000
Energy relative to the elements, eV per atom: -0.131

Cell: 5.123 6.926 6.926 Å, 90.44 110.14 110.14°
Atoms (fractional coordinates):
Cd 0.000 0.831 0.169
Cd 0.000 0.169 0.831
Au 0.335 0.081 0.580
Au 0.335 0.580 0.081
Au 0.665 0.420 0.919
Au 0.665 0.919 0.420
Au 0.500 0.000 0.000
Au 0.969 0.690 0.690
Au 0.031 0.310 0.310
Ga 0.601 0.375 0.375
Ga 0.399 0.625 0.625

(7)
This record from the Alexandria database describes crystalline CdGaAu2 at its relaxed geometry. The functional is PBE-GGA.

Results
Raw total energy, eV/atom: -2.759
Symmetry: P4/mmm, No. 123
Energy relative to the elements, eV per atom: -0.135

Cell: 3.437 3.437 6.316 Å, 90.00 90.00 90.00°
Atoms (fractional coordinates):
Au 0.000 0.000 0.237
Au 0.000 0.000 0.763
Cd 0.500 0.500 0.500
Ga 0.500 0.500 0.000

(8)
This record from the Alexandria database describes crystalline CdGa2Au7 at its relaxed geometry. The functional is PBE-GGA.

Results
Raw total energy, eV/atom: -3.025
Symmetry: Cmmm, No. 65
ΔE to the lowest computed polymorph, eV/atom: 0.0932
Energy relative to the elements, eV per atom: -0.034

Cell: 4.409 7.705 7.705 Å, 121.85 90.00 90.00°
Atoms (fractional coordinates):
Au 0.500 0.924 0.702
Au 0.500 0.702 0.924
Au 0.500 0.500 0.500
Au 0.000 0.213 0.787
Au 0.000 0.787 0.213
Au 0.500 0.298 0.076
Au 0.500 0.076 0.298
Ga 0.500 0.694 0.306
Ga 0.500 0.306 0.694
Cd 0.000 0.000 0.000

(9)
This record from the Alexandria database describes crystalline Cd3GaAu3 at its relaxed geometry. The functional is PBE-GGA.

Results
Raw total energy, eV/atom: -2.330
Symmetry: R-3m, No. 166
ΔE to the lowest computed polymorph, eV/atom: 0.0000
Energy relative to the elements, eV per atom: -0.101

Cell: 5.660 6.128 5.660 Å, 111.15 107.74 111.15°
Atoms (fractional coordinates):
Au 0.500 0.503 0.000
Au 0.500 0.004 0.500
Au 0.000 0.503 0.500
Cd 0.000 0.003 0.499
Cd 0.501 0.504 0.501
Cd 0.499 0.003 0.000
Ga 0.000 0.504 0.000

(10)
This record from the Alexandria database describes crystalline CdGa2Au at its relaxed geometry. The functional is PBE-GGA.

Results
Raw total energy, eV/atom: -2.683
Symmetry: P2_1/m, No. 11
Energy relative to the elements, eV per atom: -0.122

Cell: 4.150 5.411 7.943 Å, 90.00 90.00 117.09°
Atoms (fractional coordinates):
Ga 0.627 0.271 0.043
Ga 0.373 0.729 0.543
Ga 0.627 0.271 0.457
Ga 0.373 0.729 0.957
Au 0.784 0.576 0.750
Au 0.216 0.424 0.250
Cd 0.951 0.849 0.250
Cd 0.049 0.151 0.750

(11)
This record from the Alexandria database describes crystalline Cd2GaAu8 at its relaxed geometry. The functional is PBE-GGA.

Results
Raw total energy, eV/atom: -2.916
Symmetry: C2/m, No. 12
ΔE to the lowest computed polymorph, eV/atom: 0.0187
Energy relative to the elements, eV per atom: -0.091

Cell: 3.532 6.717 9.565 Å, 108.15 100.64 90.00°
Atoms (fractional coordinates):
Cd 0.804 0.229 0.607
Cd 0.196 0.771 0.393
Ga 0.500 0.000 0.000
Au 0.641 0.021 0.281
Au 0.411 0.575 0.823
Au 0.037 0.726 0.074
Au 0.800 0.647 0.600
Au 0.589 0.425 0.177
Au 0.963 0.274 0.926
Au 0.200 0.353 0.400
Au 0.359 0.979 0.719

(12)
This record from the Alexandria database describes crystalline CdGa2Au at its relaxed geometry. The functional is PBE-GGA.

Results
Raw total energy, eV/atom: -2.678
Symmetry: P-3m1, No. 164
Energy relative to the elements, eV per atom: -0.117

Cell: 4.427 4.427 9.955 Å, 90.00 90.00 120.00°
Atoms (fractional coordinates):
Ga 0.667 0.333 0.591
Ga 0.667 0.333 0.046
Ga 0.333 0.667 0.954
Ga 0.333 0.667 0.409
Au 0.333 0.667 0.675
Au 0.667 0.333 0.325
Cd 0.000 0.000 0.198
Cd 0.000 0.000 0.802

(13)
This record from the Alexandria database describes crystalline CdGaAu2 at its relaxed geometry. The functional is PBE-GGA.

Results
Raw total energy, eV/atom: -2.782
Symmetry: Pmmn, No. 59
Energy relative to the elements, eV per atom: -0.158

Cell: 3.790 6.482 6.752 Å, 90.00 90.00 90.00°
Atoms (fractional coordinates):
Au 0.000 0.727 0.276
Au 0.500 0.273 0.224
Au 0.000 0.727 0.724
Au 0.500 0.273 0.776
Cd 0.500 0.897 0.000
Cd 0.000 0.103 0.500
Ga 0.000 0.440 0.000
Ga 0.500 0.560 0.500

(14)
This record from the Alexandria database describes crystalline Cd5Ga2Au12 at its relaxed geometry. The functional is PBE-GGA.

Results
Raw total energy, eV/atom: -2.739
Symmetry: C2/m, No. 12
ΔE to the lowest computed polymorph, eV/atom: 0.0439
Energy relative to the elements, eV per atom: -0.109

Cell: 9.050 7.858 8.769 Å, 124.21 90.00 125.16°
Atoms (fractional coordinates):
Cd 0.746 0.492 0.432
Cd 0.000 0.000 0.500
Cd 0.666 0.333 0.699
Cd 0.254 0.508 0.568
Cd 0.334 0.667 0.301
Au 0.954 0.908 0.118
Au 0.423 0.446 0.823
Au 0.977 0.554 0.177
Au 0.558 0.116 0.899
Au 0.023 0.446 0.823
Au 0.654 0.841 0.605
Au 0.577 0.554 0.177
Au 0.813 0.159 0.395
Au 0.187 0.841 0.605
Au 0.442 0.884 0.101
Au 0.346 0.159 0.395
Au 0.046 0.092 0.882
Ga 0.756 0.000 0.000
Ga 0.244 0.000 0.000

(15)
This record from the Alexandria database describes crystalline Cd2Ga2Au at its relaxed geometry. The functional is PBE-GGA.

Results
Raw total energy, eV/atom: -2.179
Symmetry: I4/mmm, No. 139
ΔE to the lowest computed polymorph, eV/atom: 0.0920
Energy relative to the elements, eV per atom: 0.053

Cell: 3.689 3.689 8.232 Å, 77.05 77.05 90.00°
Atoms (fractional coordinates):
Au 0.000 0.000 0.000
Cd 0.595 0.595 0.810
Cd 0.405 0.405 0.190
Ga 0.250 0.750 0.500
Ga 0.750 0.250 0.500

(16)
This record from the Alexandria database describes crystalline CdGa2Au at its relaxed geometry. The functional is PBE-GGA.

Results
Raw total energy, eV/atom: -2.583
Symmetry: I-42d, No. 122
Energy relative to the elements, eV per atom: -0.021

Cell: 7.829 7.829 6.206 Å, 50.89 50.89 90.00°
Atoms (fractional coordinates):
Ga 0.375 0.340 0.750
Ga 0.660 0.125 0.250
Ga 0.090 0.625 0.250
Ga 0.875 0.910 0.750
Cd 0.500 0.500 0.000
Cd 0.250 0.750 0.500
Au 0.000 0.000 0.000
Au 0.750 0.250 0.500

(17)
This record from the Alexandria database describes crystalline CdGaAu3 at its relaxed geometry. The functional is PBE-GGA.

Results
Raw total energy, eV/atom: -2.513
Symmetry: Pm-3m, No. 221
ΔE to the lowest computed polymorph, eV/atom: 0.3904
Energy relative to the elements, eV per atom: 0.242

Cell: 4.896 4.896 4.896 Å, 90.00 90.00 90.00°
Atoms (fractional coordinates):
Ga 0.000 0.000 0.000
Cd 0.500 0.500 0.500
Au 0.500 0.000 0.000
Au 0.000 0.000 0.500
Au 0.000 0.500 0.000

(18)
This record from the Alexandria database describes crystalline Cd4GaAu at its relaxed geometry. The functional is PBE-GGA.

Results
Raw total energy, eV/atom: -1.691
Symmetry: P4/mmm, No. 123
Energy relative to the elements, eV per atom: -0.031

Cell: 3.103 3.103 13.137 Å, 90.03 90.03 90.00°
Atoms (fractional coordinates):
Cd 0.000 0.000 0.330
Cd 0.500 0.500 0.847
Cd 0.500 0.500 0.153
Cd 0.000 0.000 0.670
Ga 0.500 0.500 0.500
Au 0.000 0.000 0.000

(19)
This record from the Alexandria database describes crystalline Cd4GaAu8 at its relaxed geometry. The functional is PBE-GGA.

Results
Raw total energy, eV/atom: -2.651
Symmetry: Pmm2, No. 25
Energy relative to the elements, eV per atom: -0.119

Cell: 4.182 4.059 15.163 Å, 90.00 90.00 90.00°
Atoms (fractional coordinates):
Au 0.000 0.500 0.199
Au 0.500 0.500 0.760
Au 0.000 0.000 0.476
Au 0.500 0.000 0.612
Au 0.500 0.500 0.047
Au 0.000 0.000 0.760
Au 0.500 0.000 0.203
Au 0.000 0.500 0.908
Cd 0.500 0.000 0.900
Cd 0.000 0.500 0.620
Cd 0.000 0.000 0.055
Cd 0.500 0.500 0.452
Ga 0.000 0.000 0.312

(20)
This record from the Alexandria database describes crystalline Cd2GaAu at its relaxed geometry. The functional is PBE-GGA.

Results
Raw total energy, eV/atom: -1.984
Symmetry: R-3m, No. 166
Energy relative to the elements, eV per atom: 0.049

Cell: 2.960 2.960 11.249 Å, 82.44 82.44 60.00°
Atoms (fractional coordinates):
Au 0.000 0.000 0.000
Cd 0.914 0.914 0.259
Cd 0.086 0.086 0.741
Ga 0.500 0.500 0.500

(21)
This record from the Alexandria database describes crystalline Cd3GaAu3 at its relaxed geometry. The functional is PBE-GGA.

Results
Raw total energy, eV/atom: -2.318
Symmetry: C2/m, No. 12
ΔE to the lowest computed polymorph, eV/atom: 0.0115
Energy relative to the elements, eV per atom: -0.089

Cell: 6.727 6.727 7.009 Å, 86.33 86.33 101.21°
Atoms (fractional coordinates):
Ga 0.746 0.746 0.901
Ga 0.254 0.254 0.099
Au 0.856 0.511 0.660
Au 0.489 0.144 0.340
Au 0.511 0.856 0.660
Au 0.917 0.917 0.183
Au 0.083 0.083 0.817
Au 0.144 0.489 0.340
Cd 0.258 0.742 0.000
Cd 0.399 0.399 0.683
Cd 0.143 0.857 0.500
Cd 0.857 0.143 0.500
Cd 0.742 0.258 0.000
Cd 0.601 0.601 0.317

(22)
This record from the Alexandria database describes crystalline CdGa2Au8 at its relaxed geometry. The functional is PBE-GGA.

Results
Raw total energy, eV/atom: -3.142
Symmetry: P1, No. 1
ΔE to the lowest computed polymorph, eV/atom: 0.0000
Energy relative to the elements, eV per atom: -0.125

Cell: 4.910 6.227 7.780 Å, 112.56 104.89 99.09°
Atoms (fractional coordinates):
Au 0.961 0.020 0.565
Au 0.703 0.009 0.156
Au 0.838 0.305 0.955
Au 0.221 0.799 0.254
Au 0.345 0.514 0.863
Au 0.897 0.488 0.524
Au 0.286 0.329 0.294
Au 0.478 0.810 0.663
Ga 0.673 0.599 0.225
Ga 0.509 0.220 0.594
Cd 0.089 0.908 0.909

(23)
This record from the Alexandria database describes crystalline Cd6GaAu at its relaxed geometry. The functional is PBE-GGA.

Results
Raw total energy, eV/atom: -1.492
Symmetry: P-1, No. 2
Energy relative to the elements, eV per atom: -0.018

Cell: 5.888 7.494 6.931 Å, 41.79 67.49 58.90°
Atoms (fractional coordinates):
Cd 0.719 0.261 0.245
Cd 0.922 0.613 0.629
Cd 0.379 0.117 0.128
Cd 0.621 0.883 0.872
Cd 0.078 0.387 0.371
Cd 0.281 0.739 0.755
Ga 0.000 0.000 0.000
Au 0.500 0.500 0.500